(1)
SmZnSn | PBE | optimized geometry

The space group is I4mm (No. 107) and the conventional cell measures 3.5370, 3.5370 and 11.6247 Å, with angles of 90.00, 90.00 and 90.00 degrees. The asymmetric unit holds Sm at (0.0000, 0.0000, 0.0000), Zn at (0.0000, 0.0000, 0.3369) and Sn at (0.0000, 0.0000, 0.6983).

Its density of states at the Fermi level is 0.688 states/eV/atom. The calculation puts the uncorrected energy at -3.6583 eV/atom. The size of the total moment is 0.00 μB per formula unit.

(2)
CeThCd3 | PBE | optimized geometry

The space group is Cmcm (No. 63) and the conventional cell measures 3.3388, 30.6723 and 5.0753 Å, with angles of 90.00, 90.00 and 90.00 degrees. The asymmetric unit holds Ce at (0.0000, 0.2180, 0.2500), Th at (0.0000, 0.0733, 0.7500), Cd at (0.0000, 0.3278, 0.2500), Cd at (0.0000, 0.3784, 0.7500) and Cd at (0.0000, 0.4758, 0.7500).

Its density of states at the Fermi level is 1.430 states/eV/atom. The calculation puts the uncorrected energy at -3.3835 eV/atom. The size of the total moment is 1.26 μB per formula unit.

(3)
VRe3Se | PBE | optimized geometry

The space group is Pm-3m (No. 221) and the conventional cell measures 4.5318, 4.5318 and 4.5318 Å, with angles of 90.00, 90.00 and 90.00 degrees. The asymmetric unit holds V at (0.0000, 0.0000, 0.0000), Re at (0.0000, 0.0000, 0.5000) and Se at (0.5000, 0.5000, 0.5000).

The energy relative to the elements, uncorrected comes out at 922 kJ/mol of formula units. Its density of states at the Fermi level is 1.099 states/eV/atom. The calculation puts the uncorrected energy at -8.0792 eV/atom. The size of the total moment is 0.00 μB per formula unit. The calculation puts the distance to the lowest polymorph of the same formula at 106 kJ/mol of formula units.

(4)
Sc2SnPd | PBE | optimized geometry

The space group is Fmmm (No. 69) and the conventional cell measures 7.4381, 9.3672 and 9.3793 Å, with angles of 90.00, 90.00 and 90.00 degrees. The asymmetric unit holds Sc at (0.2224, 0.0000, 0.0000), Sc at (0.2500, 0.2500, 0.2500), Sn at (0.0000, 0.0000, 0.2734) and Pd at (0.0000, 0.2202, 0.5000).

Its density of states at the Fermi level is 0.511 states/eV/atom. The calculation puts the uncorrected energy at -6.1916 eV/atom. The size of the total moment is 0.00 μB per formula unit.

(5)
NaRuC | PBE | optimized geometry

The space group is P-6m2 (No. 187) and the conventional cell measures 3.3468, 3.3468 and 4.8543 Å, with angles of 90.00, 90.00 and 120.00 degrees. The asymmetric unit holds Na at (0.0000, 0.0000, 0.0000), Ru at (0.3333, 0.6667, 0.5000) and C at (0.6667, 0.3333, 0.5000).

Its density of states at the Fermi level is 0.472 states/eV/atom. The calculation puts the uncorrected energy at -6.2998 eV/atom. The size of the total moment is 0.00 μB per formula unit. The calculation puts the distance to the lowest polymorph of the same formula at 0 kJ/mol of formula units.

(6)
LaLuTlAu | PBE | optimized geometry

The space group is F-43m (No. 216) and the conventional cell measures 7.5566, 7.5566 and 7.5566 Å, with angles of 90.00, 90.00 and 90.00 degrees. The asymmetric unit holds La at (0.0000, 0.0000, 0.0000), Lu at (0.0000, 0.0000, 0.5000), Tl at (0.2500, 0.2500, 0.2500) and Au at (0.2500, 0.2500, 0.7500).

Its density of states at the Fermi level is 0.701 states/eV/atom. The calculation puts the uncorrected energy at -4.3108 eV/atom. The size of the total moment is 0.00 μB per formula unit.

(7)
AcGa2SiNi2 | PBE | optimized geometry

The space group is P4/mmm (No. 123) and the conventional cell measures 4.3626, 4.3626 and 5.9616 Å, with angles of 90.00, 90.00 and 90.00 degrees. The asymmetric unit holds Ac at (0.0000, 0.0000, 0.0000), Ga at (0.5000, 0.5000, 0.2602), Si at (0.0000, 0.0000, 0.5000) and Ni at (0.0000, 0.5000, 0.5000).

The energy relative to the elements, uncorrected comes out at -220 kJ/mol of formula units. Its density of states at the Fermi level is 0.555 states/eV/atom. The calculation puts the uncorrected energy at -4.9051 eV/atom. The size of the total moment is 0.00 μB per formula unit.

(8)
Rb2V3Se6 | PBE | optimized geometry

The space group is C2/m (No. 12) and the conventional cell measures 6.4244, 10.9690 and 8.4569 Å, with angles of 90.00, 105.76 and 90.00 degrees. The asymmetric unit holds Rb at (0.0000, 0.1613, 0.0000), V at (0.0000, 0.0000, 0.5000), V at (0.0000, 0.3134, 0.5000), Se at (0.2173, 0.5000, 0.6623) and Se at (0.2386, 0.1619, 0.6829).

The energy relative to the elements, uncorrected comes out at -899 kJ/mol of formula units. Its density of states at the Fermi level is 0.680 states/eV/atom. The calculation puts the uncorrected energy at -5.4106 eV/atom. The size of the total moment is 5.00 μB per formula unit.